! PmAl6Fe (PBE, optimized geometry); values from VASP
&SYSTEM
  ibrav = 0, nat = 8, ntyp = 3
/
ATOMIC_SPECIES
Pm 145.00 Pm.upf
Al 26.98 Al.upf
Fe 55.84 Fe.upf
CELL_PARAMETERS angstrom
3.210 1.853 4.410
-3.210 1.853 4.410
0.000 -3.707 4.410
ATOMIC_POSITIONS crystal
Pm 0.000 0.000 0.000
Al 0.039 0.627 0.627
Al 0.373 0.373 0.961
Al 0.373 0.961 0.373
Al 0.627 0.039 0.627
Al 0.627 0.627 0.039
Al 0.961 0.373 0.373
Fe 0.500 0.500 0.500
! - spin magnetization (μB per formula unit) = 1.677
! - calculated total energy (eV per atom) = -4.474
! - SG = R-3m